[1]
This record from Alexandria describes AcSi4Ni4 after structural relaxation. The functional is PBE.

The space group is I4/m (No. 87) and the conventional cell measures 8.0170, 8.0170 and 4.2591 Å, with angles of 90.00, 90.00 and 90.00 degrees. The asymmetric unit holds Ac at (0.0000, 0.0000, 0.0000), Si at (0.1577, 0.2875, 0.5000) and Ni at (0.1101, 0.6167, 0.5000).

For the density, the calculation gives 6.97 g/cm³. As for the polymorph energy (0 for the lowest one): 10 meV per atom. The value obtained for the formation energy from raw total energies is -550 meV per atom.

=====

[2]
This record from Alexandria describes KY2Cl after structural relaxation. The functional is PBE.

The space group is Imm2 (No. 44) and the conventional cell measures 3.5903, 7.2592 and 11.5345 Å, with angles of 90.00, 90.00 and 90.00 degrees. The asymmetric unit holds K at (0.0000, 0.0000, 0.0000), Y at (0.0000, 0.0000, 0.4083), Y at (0.0000, 0.5000, 0.1628) and Cl at (0.0000, 0.5000, 0.7252).

For the density, the calculation gives 2.79 g/cm³. As for the polymorph energy (0 for the lowest one): 411 meV per atom. The value obtained for the formation energy from raw total energies is -235 meV per atom.

=====

[3]
This record from Alexandria describes Pr5Tm4In4 after structural relaxation. The functional is PBE.

The space group is I4/m (No. 87) and the conventional cell measures 12.6677, 12.6677 and 5.0319 Å, with angles of 90.00, 90.00 and 90.00 degrees. The asymmetric unit holds Pr at (0.0000, 0.0000, 0.0000), Pr at (0.1041, 0.8051, 0.5000), Tm at (0.0949, 0.5982, 0.0000) and In at (0.0936, 0.2414, 0.0000).

For the density, the calculation gives 7.57 g/cm³. Its formation energy is -301 meV per atom.

=====

[4]
This record from Alexandria describes Dy6SnTe3As2 after structural relaxation. The functional is PBE.

The space group is C2/m (No. 12) and the conventional cell measures 18.7871, 4.2617 and 8.6556 Å, with angles of 90.00, 104.19 and 90.00 degrees. The asymmetric unit holds Dy at (0.0084, 0.0000, 0.2470), Dy at (0.1654, 0.5000, 0.1061), Dy at (0.1745, 0.5000, 0.5672), Sn at (0.0000, 0.5000, 0.0000), Te at (0.0000, 0.5000, 0.5000), Te at (0.1652, 0.0000, 0.8322) and As at (0.1681, 0.0000, 0.3365).

For the density, the calculation gives 8.04 g/cm³. The value obtained for the formation energy from raw total energies is -1337 meV per atom.

=====

[5]
This record from Alexandria describes Al2CuMo2 after structural relaxation. The functional is PBE.

The space group is P4/mbm (No. 127) and the conventional cell measures 6.4312, 6.4312 and 3.6061 Å, with angles of 90.00, 90.00 and 90.00 degrees. The asymmetric unit holds Al at (0.1349, 0.3651, 0.0000), Cu at (0.0000, 0.0000, 0.0000) and Mo at (0.1701, 0.6701, 0.5000).

For the density, the calculation gives 6.89 g/cm³. Its formation energy is 98 meV per atom.

=====

[6]
This record from Alexandria describes Pr3Nd3Er after structural relaxation. The functional is PBE.

The space group is P6_3/m (No. 176) and the conventional cell measures 9.8274, 9.8274 and 5.9139 Å, with angles of 90.00, 90.00 and 120.00 degrees. The asymmetric unit holds Pr at (0.0473, 0.2414, 0.2500), Nd at (0.0955, 0.4782, 0.7500) and Er at (0.3333, 0.6667, 0.2500).

For the density, the calculation gives 6.87 g/cm³. As for the polymorph energy (0 for the lowest one): 0 meV per atom. Its formation energy is 28 meV per atom.

=====

[7]
This record from Alexandria describes K4Ce3SbSe8 after structural relaxation. The functional is PBE.

The space group is R-3m (No. 166, hexagonal axes) and the conventional cell measures 8.7162, 8.7162 and 22.9668 Å, with angles of 90.00, 90.00 and 120.00 degrees. The asymmetric unit holds K at (0.0000, 0.0000, 0.0000), K at (0.0000, 0.5000, 0.0000), Ce at (0.0000, 0.5000, 0.5000), Sb at (0.0000, 0.0000, 0.5000), Se at (0.0000, 0.0000, 0.2368) and Se at (0.0050, 0.5025, 0.2359).

For the density, the calculation gives 4.39 g/cm³. The value obtained for the formation energy from raw total energies is -1438 meV per atom.

=====

[8]
This record from Alexandria describes PmDy2Tm5 after structural relaxation. The functional is PBE.

The space group is P2_1/m (No. 11) and the conventional cell measures 5.7314, 10.9875 and 8.4370 Å, with angles of 90.00, 106.70 and 90.00 degrees. The asymmetric unit holds Pm at (0.0107, 0.2500, 0.3491), Dy at (0.3759, 0.6143, 0.4608), Tm at (0.1772, 0.0790, 0.7146), Tm at (0.2648, 0.7500, 0.0795) and Tm at (0.2997, 0.0777, 0.1196).

For the density, the calculation gives 8.58 g/cm³. Its formation energy is 196 meV per atom.

=====

[9]
This record from Alexandria describes Rb2SbSBr after structural relaxation. The functional is PBE.

The space group is P4/mmm (No. 123) and the conventional cell measures 6.4332, 6.4332 and 5.5065 Å, with angles of 90.00, 90.00 and 90.00 degrees. The asymmetric unit holds Rb at (0.0000, 0.5000, 0.0000), Sb at (0.0000, 0.0000, 0.5000), S at (0.5000, 0.5000, 0.5000) and Br at (0.0000, 0.0000, 0.0000).

For the density, the calculation gives 2.95 g/cm³. The value obtained for the formation energy from raw total energies is -211 meV per atom.

=====

[10]
This record from Alexandria describes AgHg6O2 after structural relaxation. The functional is PBE.

The space group is C2/c (No. 15) and the conventional cell measures 18.4557, 9.1143 and 6.0257 Å, with angles of 90.00, 102.48 and 90.00 degrees. The asymmetric unit holds Ag at (0.0000, 0.0932, 0.2500), Hg at (0.0821, 0.3509, 0.3096), Hg at (0.1177, 0.0839, 0.9944), Hg at (0.2074, 0.3543, 0.8856) and O at (0.1437, 0.4864, 0.6169).

For the density, the calculation gives 9.02 g/cm³. The value obtained for the formation energy from raw total energies is -45 meV per atom.

=====

[11]
This record from Alexandria describes Zr2BeAs after structural relaxation. The functional is PBE.

The space group is C2/m (No. 12) and the conventional cell measures 5.9114, 7.3790 and 3.2775 Å, with angles of 90.00, 98.07 and 90.00 degrees. The asymmetric unit holds Zr at (0.2500, 0.2500, 0.0000), Be at (0.0000, 0.0000, 0.5000) and As at (0.0000, 0.5000, 0.5000).

For the density, the calculation gives 6.25 g/cm³. As for the polymorph energy (0 for the lowest one): 427 meV per atom. Its formation energy is -366 meV per atom.

=====

[12]
This record from Alexandria describes NaIn2 after structural relaxation. The functional is PBE.

The space group is Fd-3m (No. 227, origin choice 2) and the conventional cell measures 11.2850, 11.2850 and 11.2850 Å, with angles of 90.00, 90.00 and 90.00 degrees. The asymmetric unit holds Na at (0.0000, 0.0000, 0.0000) and In at (0.0273, 0.0273, 0.7227).

For the density, the calculation gives 4.67 g/cm³. As for the polymorph energy (0 for the lowest one): 195 meV per atom. Its formation energy is 71 meV per atom.